This record from Alexandria via LeMat-Bulk describes crystalline HgBiAs at its relaxed geometry. The functional is PBE.

CIF file:
```
data_HgBiAs
_cell_length_a 7.0819
_cell_length_b 7.0819
_cell_length_c 7.0819
_cell_angle_alpha 90.00
_cell_angle_beta 90.00
_cell_angle_gamma 90.00
_space_group_name_H-M_alt 'F -4 3 m'
_space_group_IT_number 216
_space_group_name_Hall 'F -4 2 3'
loop_
_atom_site_label
_atom_site_fract_x
_atom_site_fract_y
_atom_site_fract_z
Hg1 0.0000 0.0000 0.0000
Bi1 0.0000 0.0000 0.5000
As1 0.2500 0.2500 0.2500
```

ΔE to the lowest computed polymorph, eV/f.u.: 0.35
Crystal system: cubic
Total energy, eV per cell: -33.40
D(E_F), states/eV/cell: 4.34
Calculated volume, Å³/cell: 355.2



This record from Alexandria via LeMat-Bulk describes crystalline Hg2Bi2As at its relaxed geometry. The functional is PBE.

CIF file:
```
data_Hg2Bi2As
_cell_length_a 7.5561
_cell_length_b 7.5561
_cell_length_c 4.7592
_cell_angle_alpha 90.00
_cell_angle_beta 90.00
_cell_angle_gamma 90.00
_space_group_name_H-M_alt 'P 4/m b m'
_space_group_IT_number 127
_space_group_name_Hall '-P 4 2ab'
loop_
_atom_site_label
_atom_site_fract_x
_atom_site_fract_y
_atom_site_fract_z
Hg1 0.1356 0.3644 0.0000
Bi1 0.1845 0.6845 0.5000
As1 0.0000 0.0000 0.0000
```

ΔE to the lowest computed polymorph, eV/f.u.: 0.56
Crystal system: tetragonal
Total energy, eV per cell: -22.92
D(E_F), states/eV/cell: 4.27
Calculated volume, Å³/cell: 271.7



This record from Alexandria via LeMat-Bulk describes crystalline HgBi2As at its relaxed geometry. The functional is PBE.

CIF file:
```
data_HgBi2As
_cell_length_a 4.0575
_cell_length_b 4.0575
_cell_length_c 24.4189
_cell_angle_alpha 90.00
_cell_angle_beta 90.00
_cell_angle_gamma 120.00
_space_group_name_H-M_alt 'R 3 m'
_space_group_IT_number 160
_space_group_name_Hall 'R 3 -2"'
loop_
_atom_site_label
_atom_site_fract_x
_atom_site_fract_y
_atom_site_fract_z
Hg1 0.0000 0.0000 0.0000
Bi1 0.0000 0.0000 0.5763
Bi2 0.0000 0.0000 0.7582
As1 0.0000 0.0000 0.1682
```

ΔE to the lowest computed polymorph, eV/f.u.: 0.05
Crystal system: trigonal
Total energy, eV per cell: -36.94
D(E_F), states/eV/cell: 8.21
Calculated volume, Å³/cell: 348.2



This record from Alexandria via LeMat-Bulk describes crystalline HgBi2As at its relaxed geometry. The functional is PBE.

CIF file:
```
data_HgBi2As
_cell_length_a 4.0560
_cell_length_b 4.0560
_cell_length_c 24.3944
_cell_angle_alpha 90.00
_cell_angle_beta 90.00
_cell_angle_gamma 120.00
_space_group_name_H-M_alt 'R -3 m'
_space_group_IT_number 166
_space_group_name_Hall '-R 3 2"'
loop_
_atom_site_label
_atom_site_fract_x
_atom_site_fract_y
_atom_site_fract_z
Hg1 0.0000 0.0000 0.0000
Bi1 0.0000 0.0000 0.2418
As1 0.0000 0.0000 0.5000
```

ΔE to the lowest computed polymorph, eV/f.u.: 0.00
Crystal system: trigonal
Total energy, eV per cell: -37.08
D(E_F), states/eV/cell: 6.23
Calculated volume, Å³/cell: 347.6



This record from Alexandria via LeMat-Bulk describes crystalline HgBi2As at its relaxed geometry. The functional is PBE.

CIF file:
```
data_HgBi2As
_cell_length_a 5.2031
_cell_length_b 5.2031
_cell_length_c 3.9441
_cell_angle_alpha 90.00
_cell_angle_beta 90.00
_cell_angle_gamma 90.00
_space_group_name_H-M_alt 'P 4/m m m'
_space_group_IT_number 123
_space_group_name_Hall '-P 4 2'
loop_
_atom_site_label
_atom_site_fract_x
_atom_site_fract_y
_atom_site_fract_z
Hg1 0.0000 0.0000 0.0000
Bi1 0.0000 0.5000 0.5000
As1 0.5000 0.5000 0.0000
```

ΔE to the lowest computed polymorph, eV/f.u.: 0.45
Crystal system: tetragonal
Total energy, eV per cell: -11.91
D(E_F), states/eV/cell: 2.55
Calculated volume, Å³/cell: 106.8



This record from Alexandria via LeMat-Bulk describes crystalline HgBiAs at its relaxed geometry. The functional is PBE.

CIF file:
```
data_HgBiAs
_cell_length_a 4.2166
_cell_length_b 4.2166
_cell_length_c 5.8210
_cell_angle_alpha 90.00
_cell_angle_beta 90.00
_cell_angle_gamma 120.00
_space_group_name_H-M_alt 'P 3 m 1'
_space_group_IT_number 156
_space_group_name_Hall 'P 3 -2"'
loop_
_atom_site_label
_atom_site_fract_x
_atom_site_fract_y
_atom_site_fract_z
Hg1 0.0000 0.0000 0.0000
Bi1 0.3333 0.6667 0.5959
As1 0.6667 0.3333 0.3405
```

ΔE to the lowest computed polymorph, eV/f.u.: 0.00
Crystal system: trigonal
Total energy, eV per cell: -8.70
D(E_F), states/eV/cell: 0.73
Calculated volume, Å³/cell: 89.6



This record from Alexandria via LeMat-Bulk describes crystalline HgBiAs at its relaxed geometry. The functional is PBE.

CIF file:
```
data_HgBiAs
_cell_length_a 7.0806
_cell_length_b 4.0914
_cell_length_c 7.0368
_cell_angle_alpha 90.00
_cell_angle_beta 109.41
_cell_angle_gamma 90.00
_space_group_name_H-M_alt 'C 1 m 1'
_space_group_IT_number 8
_space_group_name_Hall 'C -2y'
loop_
_atom_site_label
_atom_site_fract_x
_atom_site_fract_y
_atom_site_fract_z
Hg1 0.0000 0.0000 0.0000
Bi1 0.4714 0.0000 0.4137
As1 0.2142 0.0000 0.6451
```

ΔE to the lowest computed polymorph, eV/f.u.: 0.00
Crystal system: monoclinic
Total energy, eV per cell: -17.40
D(E_F), states/eV/cell: 0.67
Calculated volume, Å³/cell: 192.3



This record from Alexandria via LeMat-Bulk describes crystalline Hg2Bi2As at its relaxed geometry. The functional is PBE.

CIF file:
```
data_Hg2Bi2As
_cell_length_a 7.7671
_cell_length_b 7.7671
_cell_length_c 4.8763
_cell_angle_alpha 90.00
_cell_angle_beta 90.00
_cell_angle_gamma 90.00
_space_group_name_H-M_alt 'P 4/m b m'
_space_group_IT_number 127
_space_group_name_Hall '-P 4 2ab'
loop_
_atom_site_label
_atom_site_fract_x
_atom_site_fract_y
_atom_site_fract_z
Hg1 0.1656 0.3344 0.0000
Bi1 0.1493 0.6493 0.5000
As1 0.0000 0.0000 0.5000
```

ΔE to the lowest computed polymorph, eV/f.u.: 0.09
Crystal system: tetragonal
Total energy, eV per cell: -23.85
D(E_F), states/eV/cell: 5.58
Calculated volume, Å³/cell: 294.2



This record from Alexandria via LeMat-Bulk describes crystalline Hg2BiAs2 at its relaxed geometry. The functional is PBE.

CIF file:
```
data_Hg2BiAs2
_cell_length_a 8.5152
_cell_length_b 8.5152
_cell_length_c 3.4629
_cell_angle_alpha 90.00
_cell_angle_beta 90.00
_cell_angle_gamma 90.00
_space_group_name_H-M_alt 'P 4/m b m'
_space_group_IT_number 127
_space_group_name_Hall '-P 4 2ab'
loop_
_atom_site_label
_atom_site_fract_x
_atom_site_fract_y
_atom_site_fract_z
Hg1 0.1180 0.3820 0.0000
Bi1 0.0000 0.0000 0.5000
As1 0.1989 0.6989 0.5000
```

ΔE to the lowest computed polymorph, eV/f.u.: 0.03
Crystal system: tetragonal
Total energy, eV per cell: -25.09
D(E_F), states/eV/cell: 3.98
Calculated volume, Å³/cell: 251.1



This record from Alexandria via LeMat-Bulk describes crystalline MgHgBi2As at its relaxed geometry. The functional is PBE.

CIF file:
```
data_MgHgBi2As
_cell_length_a 5.5523
_cell_length_b 5.5523
_cell_length_c 5.1094
_cell_angle_alpha 90.00
_cell_angle_beta 90.00
_cell_angle_gamma 90.00
_space_group_name_H-M_alt 'P 4/m m m'
_space_group_IT_number 123
_space_group_name_Hall '-P 4 2'
loop_
_atom_site_label
_atom_site_fract_x
_atom_site_fract_y
_atom_site_fract_z
Mg1 0.0000 0.0000 0.0000
Hg1 0.0000 0.0000 0.5000
Bi1 0.0000 0.5000 0.0000
As1 0.5000 0.5000 0.5000
```

Crystal system: tetragonal
Total energy, eV per cell: -11.46
D(E_F), states/eV/cell: 3.73
Calculated volume, Å³/cell: 157.5



This record from Alexandria via LeMat-Bulk describes crystalline Hg2BiMoAs at its relaxed geometry. The functional is PBE.

CIF file:
```
data_Hg2BiMoAs
_cell_length_a 5.1749
_cell_length_b 5.1749
_cell_length_c 5.8502
_cell_angle_alpha 90.00
_cell_angle_beta 90.00
_cell_angle_gamma 90.00
_space_group_name_H-M_alt 'P 4/m m m'
_space_group_IT_number 123
_space_group_name_Hall '-P 4 2'
loop_
_atom_site_label
_atom_site_fract_x
_atom_site_fract_y
_atom_site_fract_z
Hg1 0.0000 0.5000 0.0000
Bi1 0.0000 0.0000 0.5000
Mo1 0.5000 0.5000 0.5000
As1 0.0000 0.0000 0.0000
```

Crystal system: tetragonal
Total energy, eV per cell: -14.44
D(E_F), states/eV/cell: 4.04
Calculated volume, Å³/cell: 156.7



This record from Alexandria via LeMat-Bulk describes crystalline HgBiAs2O8 at its relaxed geometry. The functional is PBE.

CIF file:
```
data_HgBiAs2O8
_cell_length_a 7.3119
_cell_length_b 7.3119
_cell_length_c 6.4498
_cell_angle_alpha 90.00
_cell_angle_beta 90.00
_cell_angle_gamma 90.00
_space_group_name_H-M_alt 'I -4 m 2'
_space_group_IT_number 119
_space_group_name_Hall 'I -4 -2'
loop_
_atom_site_label
_atom_site_fract_x
_atom_site_fract_y
_atom_site_fract_z
Hg1 0.0000 0.0000 0.0000
Bi1 0.0000 0.5000 0.7500
As1 0.0000 0.0000 0.5000
As2 0.0000 0.5000 0.2500
O1 0.0000 0.1797 0.6753
O2 0.0000 0.3246 0.0691
```

Formation energy (no corrections), meV/atom: -924
Crystal system: tetragonal
Total energy, eV per cell: -128.48
D(E_F), states/eV/cell: 16.84
Calculated volume, Å³/cell: 344.8



This record from Alexandria via LeMat-Bulk describes crystalline Rb2HgBiAs at its relaxed geometry. The functional is PBE.

CIF file:
```
data_Rb2HgBiAs
_cell_length_a 6.7406
_cell_length_b 6.7406
_cell_length_c 5.5437
_cell_angle_alpha 90.00
_cell_angle_beta 90.00
_cell_angle_gamma 90.00
_space_group_name_H-M_alt 'P 4/m m m'
_space_group_IT_number 123
_space_group_name_Hall '-P 4 2'
loop_
_atom_site_label
_atom_site_fract_x
_atom_site_fract_y
_atom_site_fract_z
Rb1 0.0000 0.5000 0.0000
Hg1 0.0000 0.0000 0.5000
Bi1 0.5000 0.5000 0.5000
As1 0.5000 0.5000 0.0000
```

Crystal system: tetragonal
Total energy, eV per cell: -11.29
D(E_F), states/eV/cell: 4.17
Calculated volume, Å³/cell: 251.9